[1]
A geometry-optimized TmScH structure, computed with PBE.

Cell and atoms, written as POSCAR:
```
TmScH
1.0
-1.576 1.576 5.806
1.576 -1.576 5.806
1.576 1.576 -5.806
Tm Sc H
1 1 1
direct
0.000 0.000 0.000
0.709 0.709 0.000
0.187 0.187 0.000
```

## Properties
The value obtained for the final energy is -4.800 eV per atom. Its polymorph energy (0 for the lowest one) is 23.3 kJ per mole of atoms.

***

[2]
A geometry-optimized AlNi4 structure, computed with PBE.

Cell and atoms, written as POSCAR:
```
AlNi4
1.0
-1.621 1.621 5.949
1.621 -1.621 5.949
1.621 1.621 -5.949
Al Ni
1 4
direct
0.000 0.000 0.000
0.250 0.750 0.500
0.402 0.402 0.000
0.598 0.598 0.000
0.750 0.250 0.500
```

## Properties
The value obtained for the final energy is -5.305 eV per atom. Its formation energy is 0.07 eV per atom.

***

[3]
A geometry-optimized Ca6BiPb2 structure, computed with PBE.

Cell and atoms, written as POSCAR:
```
Ca6BiPb2
1.0
10.661 0.000 0.000
0.000 10.706 0.000
0.000 0.000 5.334
Ca Bi Pb
12 2 4
direct
0.038 0.197 0.000
0.120 0.617 0.500
0.196 0.959 0.500
0.304 0.459 0.000
0.380 0.117 0.000
0.462 0.697 0.500
0.538 0.303 0.500
0.620 0.883 0.000
0.696 0.541 0.000
0.804 0.041 0.500
0.880 0.383 0.500
0.962 0.803 0.000
0.000 0.500 0.000
0.500 0.000 0.500
0.221 0.275 0.500
0.279 0.775 0.000
0.721 0.225 0.000
0.779 0.725 0.500
```

## Properties
The value obtained for the final energy is -3.087 eV per atom. Its formation energy is -0.50 eV per atom.

***

[4]
A geometry-optimized Sr2ZrTa structure, computed with PBE.

Cell and atoms, written as POSCAR:
```
Sr2ZrTa
1.0
0.000 3.941 3.941
3.941 0.000 3.941
3.941 3.941 0.000
Sr Zr Ta
2 1 1
direct
0.250 0.250 0.250
0.750 0.750 0.750
0.000 0.000 0.000
0.500 0.500 0.500
```

## Properties
The value obtained for the final energy is -4.698 eV per atom. Its polymorph energy (0 for the lowest one) is 76.9 kJ per mole of atoms. Its formation energy is 1.24 eV per atom.

***

One value per record, in order, for spin magnetization: 0.00; 0.25; 0.00; 0.54 μB per atom.